A relaxed LiSc2Ir crystal. Source: Alexandria via LeMat-Bulk, functional PBE.

```
LiSc2Ir
1.0
1.502 0.867 10.215
-1.502 0.867 10.215
0.000 -1.735 10.215
Li Sc Ir
1 2 1
Direct
0.000 0.000 0.000 Li
0.420 0.420 0.420 Sc
0.580 0.580 0.580 Sc
0.500 0.500 0.500 Ir
```

***

A relaxed LiScIr crystal. Source: Alexandria via LeMat-Bulk, functional PBE.

```
LiScIr
1.0
4.505 0.000 0.000
0.000 3.147 0.000
0.000 0.000 14.239
Li Sc Ir
4 4 4
Direct
0.246 0.250 0.018 Li
0.254 0.750 0.518 Li
0.746 0.250 0.482 Li
0.754 0.750 0.982 Li
0.240 0.250 0.330 Sc
0.260 0.750 0.830 Sc
0.740 0.250 0.170 Sc
0.760 0.750 0.670 Sc
0.239 0.750 0.169 Ir
0.261 0.250 0.669 Ir
0.739 0.750 0.331 Ir
0.761 0.250 0.831 Ir
```

***

A relaxed LiSc2Ir crystal. Source: Alexandria via LeMat-Bulk, functional PBE.

```
LiSc2Ir
1.0
-1.963 1.963 4.618
1.963 -1.963 4.618
1.963 1.963 -4.618
Li Sc Ir
1 2 1
Direct
0.000 0.000 0.000 Li
0.250 0.750 0.500 Sc
0.500 0.500 0.000 Sc
0.750 0.250 0.500 Ir
```

***

A relaxed LiScIr crystal. Source: Alexandria via LeMat-Bulk, functional PBE.

```
LiScIr
1.0
1.547 -10.570 0.000
1.547 10.570 0.000
0.000 0.000 3.231
Li Sc Ir
2 2 2
Direct
0.214 0.786 0.750 Li
0.786 0.214 0.250 Li
0.076 0.924 0.750 Sc
0.924 0.076 0.250 Sc
0.355 0.645 0.750 Ir
0.645 0.355 0.250 Ir
```

***

A relaxed LiSc2Ir crystal. Source: Alexandria via LeMat-Bulk, functional PBE.

```
LiSc2Ir
1.0
4.098 -1.539 0.000
4.098 1.539 0.000
-0.627 0.000 6.266
Li Sc Ir
1 2 1
Direct
0.000 0.000 0.000 Li
0.238 0.238 0.715 Sc
0.762 0.762 0.285 Sc
0.500 0.500 0.500 Ir
```

***

A relaxed LiSc4Ir2 crystal. Source: Alexandria via LeMat-Bulk, functional PBE.

```
LiSc4Ir2
1.0
2.291 1.323 7.421
-2.291 1.323 7.421
0.000 -2.646 7.421
Li Sc Ir
1 4 2
Direct
0.000 0.000 0.000 Li
0.129 0.129 0.129 Sc
0.380 0.380 0.380 Sc
0.620 0.620 0.620 Sc
0.871 0.871 0.871 Sc
0.252 0.252 0.252 Ir
0.748 0.748 0.748 Ir
```

***

A relaxed Li2ScIr crystal. Source: Alexandria via LeMat-Bulk, functional PBE.

```
Li2ScIr
1.0
1.400 0.808 9.757
-1.400 0.808 9.757
0.000 -1.617 9.757
Li Sc Ir
2 1 1
Direct
0.239 0.239 0.239 Li
0.761 0.761 0.761 Li
0.000 0.000 0.000 Sc
0.500 0.500 0.500 Ir
```

***

A relaxed LiSc3Ir3 crystal. Source: Alexandria via LeMat-Bulk, functional PBE.

```
LiSc3Ir3
1.0
4.471 -4.501 0.000
4.471 4.501 0.000
0.000 0.000 6.179
Li Sc Ir
2 6 6
Direct
0.243 0.757 0.000 Li
0.757 0.243 0.000 Li
0.246 0.246 0.500 Sc
0.252 0.748 0.500 Sc
0.264 0.264 0.000 Sc
0.736 0.736 0.000 Sc
0.748 0.252 0.500 Sc
0.754 0.754 0.500 Sc
0.000 0.000 0.242 Ir
0.000 0.000 0.758 Ir
0.000 0.500 0.244 Ir
0.000 0.500 0.756 Ir
0.500 0.000 0.244 Ir
0.500 0.000 0.756 Ir
```

***

A relaxed LiSc2Ir crystal. Source: Alexandria via LeMat-Bulk, functional PBE.

```
LiSc2Ir
1.0
3.117 0.000 0.000
0.000 4.197 0.000
0.000 0.000 5.654
Li Sc Ir
1 2 1
Direct
0.000 0.000 0.000 Li
0.000 0.000 0.555 Sc
0.500 0.500 0.223 Sc
0.500 0.500 0.710 Ir
```

***

A relaxed Li2ScIr crystal. Source: Alexandria via LeMat-Bulk, functional PBE.

```
Li2ScIr
1.0
-1.601 2.136 4.807
1.601 -2.136 4.807
1.601 2.136 -4.807
Li Sc Ir
2 1 1
Direct
0.226 0.226 0.000 Li
0.774 0.774 0.000 Li
0.500 0.000 0.500 Sc
0.000 0.500 0.500 Ir
```

***

A relaxed Li2ScIr crystal. Source: Alexandria via LeMat-Bulk, functional PBE.

```
Li2ScIr
1.0
1.535 0.886 9.189
-1.535 0.886 9.189
0.000 -1.772 9.189
Li Sc Ir
2 1 1
Direct
0.000 0.000 0.000 Li
0.241 0.241 0.241 Li
0.764 0.764 0.764 Sc
0.501 0.501 0.501 Ir
```

***

A relaxed LiScIr crystal. Source: Alexandria via LeMat-Bulk, functional PBE.

```
LiScIr
1.0
3.034 0.000 0.000
-1.517 2.628 0.000
0.000 0.000 6.719
Li Sc Ir
1 1 1
Direct
0.000 0.000 0.000 Li
0.667 0.333 0.402 Sc
0.333 0.667 0.696 Ir
```

***

A relaxed LiSc6Ir5 crystal. Source: Alexandria via LeMat-Bulk, functional PBE.

```
LiSc6Ir5
1.0
-2.308 3.182 6.952
2.308 -3.182 6.952
2.308 3.182 -6.952
Li Sc Ir
1 6 5
Direct
0.000 0.000 0.000 Li
0.083 0.831 0.251 Sc
0.253 0.500 0.753 Sc
0.420 0.169 0.251 Sc
0.580 0.831 0.749 Sc
0.747 0.500 0.247 Sc
0.917 0.169 0.749 Sc
0.165 0.665 0.500 Ir
0.334 0.334 0.000 Ir
0.500 0.000 0.500 Ir
0.666 0.666 0.000 Ir
0.835 0.335 0.500 Ir
```

***

A relaxed Li2ScIr2 crystal. Source: Alexandria via LeMat-Bulk, functional PBE.

```
Li2ScIr2
1.0
6.662 0.000 0.000
0.000 6.662 0.000
0.000 0.000 3.107
Li Sc Ir
4 2 4
Direct
0.107 0.393 0.000 Li
0.393 0.893 0.000 Li
0.607 0.107 0.000 Li
0.893 0.607 0.000 Li
0.000 0.000 0.000 Sc
0.500 0.500 0.000 Sc
0.194 0.694 0.500 Ir
0.306 0.194 0.500 Ir
0.694 0.806 0.500 Ir
0.806 0.306 0.500 Ir
```

***

A relaxed LiSc4Ir3 crystal. Source: Alexandria via LeMat-Bulk, functional PBE.

```
LiSc4Ir3
1.0
-2.281 2.281 6.602
2.281 -2.281 6.602
2.281 2.281 -6.602
Li Sc Ir
1 4 3
Direct
0.000 0.000 0.000 Li
0.127 0.627 0.500 Sc
0.373 0.873 0.500 Sc
0.627 0.127 0.500 Sc
0.873 0.373 0.500 Sc
0.247 0.247 0.000 Ir
0.500 0.500 0.000 Ir
0.753 0.753 0.000 Ir
```

***

A relaxed LiSc2Ir crystal. Source: Alexandria via LeMat-Bulk, functional PBE.

```
LiSc2Ir
1.0
-3.670 3.670 2.954
3.670 -3.670 2.954
3.670 3.670 -2.954
Li Sc Ir
2 4 2
Direct
0.000 0.000 0.000 Li
0.750 0.250 0.500 Li
0.151 0.625 0.026 Sc
0.375 0.401 0.526 Sc
0.599 0.125 0.974 Sc
0.875 0.849 0.474 Sc
0.250 0.750 0.500 Ir
0.500 0.500 0.000 Ir
```

***

A relaxed Li2ScIr2 crystal. Source: Alexandria via LeMat-Bulk, functional PBE.

```
Li2ScIr2
1.0
-1.619 1.619 7.123
1.619 -1.619 7.123
1.619 1.619 -7.123
Li Sc Ir
2 1 2
Direct
0.250 0.750 0.500 Li
0.750 0.250 0.500 Li
0.000 0.000 0.000 Sc
0.393 0.393 0.000 Ir
0.607 0.607 0.000 Ir
```

***

A relaxed LiSc2Ir crystal. Source: Alexandria via LeMat-Bulk, functional PBE.

```
LiSc2Ir
1.0
-1.614 2.298 5.048
1.614 -2.298 5.048
1.614 2.298 -5.048
Li Sc Ir
1 2 1
Direct
0.000 0.000 0.000 Li
0.420 0.420 0.000 Sc
0.708 0.208 0.500 Sc
0.211 0.711 0.500 Ir
```

***

A relaxed LiScIr crystal. Source: Alexandria via LeMat-Bulk, functional PBE.

```
LiScIr
1.0
-1.540 1.880 4.147
1.540 -1.880 4.147
1.540 1.880 -4.147
Li Sc Ir
1 1 1
Direct
0.000 0.000 0.000 Li
0.688 0.688 0.000 Sc
0.344 0.344 0.000 Ir
```

***

A relaxed Li2ScIr crystal. Source: Alexandria via LeMat-Bulk, functional PBE.

```
Li2ScIr
1.0
0.000 3.166 3.166
3.166 0.000 3.166
3.166 3.166 0.000
Li Sc Ir
2 1 1
Direct
0.000 0.000 0.000 Li
0.250 0.250 0.250 Li
0.750 0.750 0.750 Sc
0.500 0.500 0.500 Ir
```

***

A relaxed LiSc2Ir crystal. Source: Alexandria via LeMat-Bulk, functional PBE.

```
LiSc2Ir
1.0
1.852 1.069 9.380
-1.852 1.069 9.380
0.000 -2.139 9.380
Li Sc Ir
1 2 1
Direct
0.000 0.000 0.000 Li
0.115 0.115 0.115 Sc
0.885 0.885 0.885 Sc
0.500 0.500 0.500 Ir
```

***

A relaxed Li2ScIr crystal. Source: Alexandria via LeMat-Bulk, functional PBE.

```
Li2ScIr
1.0
-1.863 1.863 10.040
1.863 -1.863 10.040
1.863 1.863 -10.040
Li Sc Ir
4 2 2
Direct
0.081 0.125 0.456 Li
0.375 0.919 0.044 Li
0.669 0.625 0.544 Li
0.875 0.331 0.956 Li
0.250 0.750 0.500 Sc
0.500 0.500 0.000 Sc
0.000 0.000 0.000 Ir
0.750 0.250 0.500 Ir
```

***

A relaxed Li2ScIr crystal. Source: Alexandria via LeMat-Bulk, functional PBE.

```
Li2ScIr
1.0
0.000 3.079 3.079
3.079 0.000 3.079
3.079 3.079 0.000
Li Sc Ir
2 1 1
Direct
0.250 0.250 0.250 Li
0.750 0.750 0.750 Li
0.000 0.000 0.000 Sc
0.500 0.500 0.500 Ir
```

***

A relaxed LiSc2Ir crystal. Source: Alexandria via LeMat-Bulk, functional PBE.

```
LiSc2Ir
1.0
3.272 0.000 0.000
0.000 3.272 0.000
0.000 0.000 6.840
Li Sc Ir
1 2 1
Direct
0.000 0.000 0.000 Li
0.000 0.000 0.604 Sc
0.500 0.500 0.238 Sc
0.500 0.500 0.830 Ir
```

***

A relaxed LiScIr crystal. Source: Alexandria via LeMat-Bulk, functional PBE.

```
LiScIr
1.0
0.000 3.069 3.069
3.069 0.000 3.069
3.069 3.069 0.000
Li Sc Ir
1 1 1
Direct
0.000 0.000 0.000 Li
0.500 0.500 0.500 Sc
0.750 0.750 0.750 Ir
```

***

A relaxed LiSc3Ir4 crystal. Source: Alexandria via LeMat-Bulk, functional PBE.

```
LiSc3Ir4
1.0
4.490 0.000 0.000
0.000 4.490 0.000
0.000 0.000 6.309
Li Sc Ir
1 3 4
Direct
0.000 0.000 0.000 Li
0.000 0.000 0.500 Sc
0.500 0.500 0.000 Sc
0.500 0.500 0.500 Sc
0.000 0.500 0.245 Ir
0.000 0.500 0.755 Ir
0.500 0.000 0.245 Ir
0.500 0.000 0.755 Ir
```

***

A relaxed Li2ScIr crystal. Source: Alexandria via LeMat-Bulk, functional PBE.

```
Li2ScIr
1.0
1.479 -2.318 0.000
1.479 2.318 0.000
0.000 0.000 9.761
Li Sc Ir
2 1 1
Direct
0.000 0.000 0.214 Li
0.000 0.000 0.786 Li
0.500 0.500 0.500 Sc
0.500 0.500 0.000 Ir
```

***

| no. | total energy (eV per atom) | density of states at the Fermi level (states/eV/atom) |
| --- | --- | --- |
| 1 | -5.657 | 0.9987 |
| 2 | -6.293 | 0.4152 |
| 3 | -6.208 | 0.7460 |
| 4 | -6.126 | 0.4497 |
| 5 | -6.135 | 0.9417 |
| 6 | -7.110 | 1.0080 |
| 7 | -4.652 | 0.9115 |
| 8 | -7.475 | 0.4325 |
| 9 | -6.139 | 0.9153 |
| 10 | -5.109 | 0.4833 |
| 11 | -4.866 | 0.2732 |
| 12 | -5.827 | 0.6548 |
| 13 | -7.927 | 0.3790 |
| 14 | -5.810 | 0.7592 |
| 15 | -7.557 | 0.6981 |
| 16 | -6.006 | 0.6544 |
| 17 | -5.755 | 0.3386 |
| 18 | -6.271 | 0.7807 |
| 19 | -6.173 | 0.6381 |
| 20 | -5.117 | 0.2187 |
| 21 | -6.029 | 0.5495 |
| 22 | -4.933 | 0.5524 |
| 23 | -4.936 | 1.2302 |
| 24 | -6.130 | 0.9419 |
| 25 | -5.959 | 1.0002 |
| 26 | -7.823 | 0.2381 |
| 27 | -4.623 | 1.0170 |